# 1
The following is a DFT calculation (PBE) of an optimized crystal structure of AsN2Cl3.

Computed properties:
The uncorrected formation energy is -426 meV/atom. Its total magnetic moment is 0.000 μB/f.u. The space-group type is C2/c, No. 15. The calculation puts the density of states at the Fermi level at 0.00 states/eV/cell.

Cell lengths 7.623, 7.623, 7.318 Å; angles 94.01, 94.01, 89.07 degrees
Fractional positions:
As 0.018 0.982 0.750
As 0.982 0.018 0.250
N 0.363 0.564 0.298
N 0.436 0.637 0.202
N 0.564 0.363 0.798
N 0.637 0.436 0.702
Cl 0.163 0.163 0.024
Cl 0.163 0.163 0.524
Cl 0.222 0.778 0.750
Cl 0.778 0.222 0.250
Cl 0.837 0.837 0.476
Cl 0.837 0.837 0.976

***

# 2
The following is a DFT calculation (PBE) of an optimized crystal structure of Tc7Se6.

Computed properties:
The uncorrected formation energy is 270 meV/atom. Its total magnetic moment is 0.001 μB/f.u. The space-group type is R-3m, No. 166. The calculation puts the density of states at the Fermi level at 11.94 states/eV/cell.

Cell lengths 11.706, 11.706, 11.706 Å; angles 25.60, 25.60, 25.60 degrees
Fractional positions:
Tc 0.000 0.000 0.000
Tc 0.097 0.097 0.594
Tc 0.097 0.594 0.097
Tc 0.406 0.903 0.903
Tc 0.594 0.097 0.097
Tc 0.903 0.406 0.903
Tc 0.903 0.903 0.406
Se 0.131 0.131 0.131
Se 0.324 0.324 0.324
Se 0.428 0.428 0.428
Se 0.572 0.572 0.572
Se 0.676 0.676 0.676
Se 0.869 0.869 0.869

***

# 3
The following is a DFT calculation (PBE) of an optimized crystal structure of AlOs.

Computed properties:
The value obtained for the energy relative to the elements is 0.048 eV/atom. Its total magnetic moment is 0.000 μB/f.u. The space-group type is Fd-3m, No. 227. The calculation puts the density of states at the Fermi level at 11.03 states/eV/cell.

Cell lengths 6.133, 6.133, 6.133 Å; angles 90.00, 90.00, 90.00 degrees
Fractional positions:
Al 0.125 0.125 0.125
Al 0.125 0.625 0.625
Al 0.375 0.375 0.875
Al 0.375 0.875 0.375
Al 0.625 0.125 0.625
Al 0.625 0.625 0.125
Al 0.875 0.375 0.375
Al 0.875 0.875 0.875
Os 0.125 0.125 0.625
Os 0.125 0.625 0.125
Os 0.375 0.375 0.375
Os 0.375 0.875 0.875
Os 0.625 0.125 0.125
Os 0.625 0.625 0.625
Os 0.875 0.375 0.875
Os 0.875 0.875 0.375

***

# 4
The following is a DFT calculation (PBE) of an optimized crystal structure of Na2CdAs2.

Computed properties:
The value obtained for the energy relative to the elements is -0.071 eV/atom. Its total magnetic moment is 0.000 μB/f.u. The space-group type is I4/mmm, No. 139. The calculation puts the density of states at the Fermi level at 4.60 states/eV/cell.

Cell lengths 3.802, 3.802, 18.097 Å; angles 90.00, 90.00, 90.00 degrees
Fractional positions:
Na 0.000 0.000 0.115
Na 0.000 0.000 0.885
Na 0.500 0.500 0.385
Na 0.500 0.500 0.615
Cd 0.000 0.000 0.500
Cd 0.500 0.500 0.000
As 0.000 0.500 0.250
As 0.000 0.500 0.750
As 0.500 0.000 0.250
As 0.500 0.000 0.750

***

# 5
The following is a DFT calculation (PBE) of an optimized crystal structure of Sm2Sn2Ru2C.

Computed properties:
The value obtained for the energy relative to the elements is -0.501 eV/atom. Its total magnetic moment is 0.000 μB/f.u. The space-group type is C2/m, No. 12. The calculation puts the density of states at the Fermi level at 8.70 states/eV/cell.

Cell lengths 11.573, 4.298, 7.383 Å; angles 90.00, 126.92, 90.00 degrees
Fractional positions:
Sm 0.047 0.000 0.271
Sm 0.453 0.500 0.729
Sm 0.547 0.500 0.271
Sm 0.953 0.000 0.729
Sn 0.163 0.500 0.692
Sn 0.337 0.000 0.308
Sn 0.663 0.000 0.692
Sn 0.837 0.500 0.308
Ru 0.186 0.500 0.077
Ru 0.314 0.000 0.923
Ru 0.686 0.000 0.077
Ru 0.814 0.500 0.923
C 0.000 0.500 0.000
C 0.500 0.000 0.000

***

# 6
The following is a DFT calculation (PBE) of an optimized crystal structure of Mg2GaSiN4.

Computed properties:
The uncorrected formation energy is -689 meV/atom. Its total magnetic moment is 1.018 μB/f.u. The space-group type is Pmn2_1, No. 31. The calculation puts the density of states at the Fermi level at 6.60 states/eV/cell.

Cell lengths 6.217, 5.805, 5.207 Å; angles 90.00, 90.00, 90.00 degrees
Fractional positions:
Mg 0.248 0.163 0.000
Mg 0.252 0.837 0.500
Mg 0.748 0.837 0.500
Mg 0.752 0.163 0.000
Ga 0.000 0.349 0.500
Ga 0.500 0.651 0.000
Si 0.000 0.663 0.999
Si 0.500 0.337 0.499
N 0.000 0.381 0.876
N 0.000 0.652 0.337
N 0.233 0.815 0.905
N 0.267 0.185 0.405
N 0.500 0.348 0.837
N 0.500 0.619 0.376
N 0.733 0.185 0.405
N 0.767 0.815 0.905

***

# 7
The following is a DFT calculation (PBE) of an optimized crystal structure of LaGaBi2.

Computed properties:
The value obtained for the energy relative to the elements is -0.576 eV/atom. Its total magnetic moment is 0.000 μB/f.u. The space-group type is P6/mmm, No. 191. The calculation puts the density of states at the Fermi level at 6.07 states/eV/cell.

Cell lengths 13.734, 13.734, 4.426 Å; angles 90.00, 90.00, 120.00 degrees
Fractional positions:
La 0.226 0.452 0.000
La 0.226 0.774 0.000
La 0.452 0.226 0.000
La 0.548 0.774 0.000
La 0.774 0.226 0.000
La 0.774 0.548 0.000
Ga 0.000 0.182 0.000
Ga 0.000 0.818 0.000
Ga 0.182 0.000 0.000
Ga 0.182 0.182 0.000
Ga 0.818 0.000 0.000
Ga 0.818 0.818 0.000
Bi 0.000 0.000 0.500
Bi 0.000 0.326 0.500
Bi 0.000 0.500 0.000
Bi 0.000 0.674 0.500
Bi 0.326 0.000 0.500
Bi 0.326 0.326 0.500
Bi 0.333 0.667 0.500
Bi 0.500 0.000 0.000
Bi 0.500 0.500 0.000
Bi 0.667 0.333 0.500
Bi 0.674 0.000 0.500
Bi 0.674 0.674 0.500

***

# 8
The following is a DFT calculation (PBE) of an optimized crystal structure of GeICl3.

Computed properties:
The uncorrected formation energy is -760 meV/atom. Its total magnetic moment is 0.121 μB/f.u. The space-group type is P2_1/m, No. 11. The calculation puts the density of states at the Fermi level at 0.00 states/eV/cell.

Cell lengths 6.691, 10.267, 7.274 Å; angles 90.00, 115.12, 90.00 degrees
Fractional positions:
Ge 0.203 0.250 0.083
Ge 0.797 0.750 0.917
I 0.095 0.250 0.708
I 0.905 0.750 0.292
Cl 0.084 0.750 0.855
Cl 0.395 0.081 0.226
Cl 0.395 0.419 0.226
Cl 0.605 0.581 0.774
Cl 0.605 0.919 0.774
Cl 0.916 0.250 0.145

***

# 9
The following is a DFT calculation (PBE) of an optimized crystal structure of CuSbSe4.

Computed properties:
The uncorrected formation energy is 691 meV/atom. Its total magnetic moment is 0.000 μB/f.u. The space-group type is F-43m, No. 216. The calculation puts the density of states at the Fermi level at 1.55 states/eV/cell.

Cell lengths 5.712, 5.712, 5.712 Å; angles 60.00, 60.00, 60.00 degrees
Fractional positions:
Cu 0.000 0.000 0.000
Sb 0.250 0.250 0.250
Se 0.121 0.626 0.626
Se 0.626 0.121 0.626
Se 0.626 0.626 0.121
Se 0.626 0.626 0.626

***

# 10
The following is a DFT calculation (PBE) of an optimized crystal structure of GaRe2SiAg.

Computed properties:
The uncorrected formation energy is 2355 meV/atom. Its total magnetic moment is 3.996 μB/f.u. The space-group type is P4/mmm, No. 123. The calculation puts the density of states at the Fermi level at 5.36 states/eV/cell.

Cell lengths 4.973, 4.973, 4.385 Å; angles 90.00, 90.00, 90.00 degrees
Fractional positions:
Ga 0.000 0.000 0.000
Re 0.000 0.500 0.500
Re 0.500 0.000 0.500
Si 0.500 0.500 0.000
Ag 0.500 0.500 0.500

***

# 11
The following is a DFT calculation (PBE) of an optimized crystal structure of InMoP3.

Computed properties:
The value obtained for the energy relative to the elements is 1.893 eV/atom. Its total magnetic moment is 0.000 μB/f.u. The space-group type is Pm-3m, No. 221. The calculation puts the density of states at the Fermi level at 12.17 states/eV/cell.

Cell lengths 4.844, 4.844, 4.844 Å; angles 90.00, 90.00, 90.00 degrees
Fractional positions:
In 0.000 0.000 0.000
Mo 0.500 0.500 0.500
P 0.000 0.000 0.500
P 0.000 0.500 0.000
P 0.500 0.000 0.000

***

# 12
The following is a DFT calculation (PBE) of an optimized crystal structure of Ba5Tl4Hg.

Computed properties:
The value obtained for the energy relative to the elements is -0.430 eV/atom. Its total magnetic moment is 0.000 μB/f.u. The space-group type is P4/mmm, No. 123. The calculation puts the density of states at the Fermi level at 7.44 states/eV/cell.

Cell lengths 4.272, 4.272, 21.509 Å; angles 90.00, 90.00, 90.00 degrees
Fractional positions:
Ba 0.000 0.000 0.000
Ba 0.000 0.000 0.201
Ba 0.000 0.000 0.402
Ba 0.000 0.000 0.598
Ba 0.000 0.000 0.799
Tl 0.500 0.500 0.101
Tl 0.500 0.500 0.301
Tl 0.500 0.500 0.699
Tl 0.500 0.500 0.899
Hg 0.500 0.500 0.500

***

# 13
The following is a DFT calculation (PBE) of an optimized crystal structure of TiMnNbTc.

Computed properties:
The value obtained for the energy relative to the elements is -0.322 eV/atom. Its total magnetic moment is 0.336 μB/f.u. The space-group type is F-43m, No. 216. The calculation puts the density of states at the Fermi level at 10.15 states/eV/cell.

Cell lengths 6.191, 6.191, 6.191 Å; angles 90.00, 90.00, 90.00 degrees
Fractional positions:
Ti 0.000 0.000 0.000
Ti 0.000 0.500 0.500
Ti 0.500 0.000 0.500
Ti 0.500 0.500 0.000
Mn 0.250 0.250 0.750
Mn 0.250 0.750 0.250
Mn 0.750 0.250 0.250
Mn 0.750 0.750 0.750
Nb 0.000 0.000 0.500
Nb 0.000 0.500 0.000
Nb 0.500 0.000 0.000
Nb 0.500 0.500 0.500
Tc 0.250 0.250 0.250
Tc 0.250 0.750 0.750
Tc 0.750 0.250 0.750
Tc 0.750 0.750 0.250

***

# 14
The following is a DFT calculation (PBE) of an optimized crystal structure of Mg2BiHRh.

Computed properties:
As for the total energy: -3.767 eV per atom. Its total magnetic moment is 0.000 μB/f.u. The space-group type is P4/mmm, No. 123. The calculation puts the density of states at the Fermi level at 1.86 states/eV/cell.

Cell lengths 4.757, 4.757, 3.669 Å; angles 90.00, 90.00, 90.00 degrees
Fractional positions:
Mg 0.000 0.500 0.000
Mg 0.500 0.000 0.000
Bi 0.000 0.000 0.500
H 0.500 0.500 0.000
Rh 0.500 0.500 0.500